! RbF6, optimized geometry, DFT GGA-PBE; values from VASP
! DOS(E_F) = 7.7 states/eV/cell
! Formation energy from raw total energies = -0.472 eV per atom
&SYSTEM
  ibrav = 0, nat = 7, ntyp = 2
/
ATOMIC_SPECIES
Rb 85.47 Rb.upf
F 19.00 F.upf
ATOMIC_POSITIONS crystal
Rb 0.000 0.000 0.000
F 0.250 0.750 0.500
F 0.500 0.750 0.250
F 0.250 0.500 0.750
F 0.750 0.250 0.500
F 0.500 0.250 0.750
F 0.750 0.500 0.250
CELL_PARAMETERS angstrom
5.377 0.000 0.000
-1.792 5.070 0.000
-1.792 -2.535 4.391

=====

! Rb3F, optimized geometry, DFT GGA-PBE; values from VASP
! DOS(E_F) = 1.8 states/eV/cell
! Formation energy from raw total energies = -1.221 eV per atom
&SYSTEM
  ibrav = 0, nat = 4, ntyp = 2
/
ATOMIC_SPECIES
Rb 85.47 Rb.upf
F 19.00 F.upf
ATOMIC_POSITIONS crystal
Rb 0.357 0.758 0.714
Rb 0.500 0.322 0.000
Rb 0.643 0.044 0.286
F 0.000 0.042 0.000
CELL_PARAMETERS angstrom
-0.833 -0.348 -3.854
6.581 -4.214 -1.041
-6.295 -3.370 3.698

=====

! Rb4F5, optimized geometry, DFT GGA-PBE; values from VASP
! DOS(E_F) = 20.9 states/eV/cell
! Formation energy from raw total energies = -2.336 eV per atom
&SYSTEM
  ibrav = 0, nat = 9, ntyp = 2
/
ATOMIC_SPECIES
Rb 85.47 Rb.upf
F 19.00 F.upf
ATOMIC_POSITIONS crystal
Rb 0.775 0.310 0.140
Rb 0.915 0.860 0.310
Rb 0.085 0.140 0.690
Rb 0.225 0.690 0.860
F 0.602 0.655 0.142
F 0.744 0.858 0.655
F 0.256 0.142 0.345
F 0.398 0.345 0.858
F 0.000 0.000 0.000
CELL_PARAMETERS angstrom
3.737 0.000 1.086
1.868 7.914 0.543
-0.340 0.000 8.142

=====

! RbF, optimized geometry, DFT GGA-PBE; values from VASP
! DOS(E_F) = 0.0 states/eV/cell
! Formation energy from raw total energies = -2.586 eV per atom
&SYSTEM
  ibrav = 0, nat = 12, ntyp = 2
/
ATOMIC_SPECIES
Rb 85.47 Rb.upf
F 19.00 F.upf
ATOMIC_POSITIONS crystal
Rb 0.250 0.500 0.000
Rb 0.750 0.500 0.000
Rb 0.500 0.000 0.250
Rb 0.500 0.000 0.750
Rb 0.000 0.250 0.500
Rb 0.000 0.750 0.500
F 0.250 0.000 0.500
F 0.750 0.000 0.500
F 0.000 0.500 0.250
F 0.000 0.500 0.750
F 0.500 0.250 0.000
F 0.500 0.750 0.000
CELL_PARAMETERS angstrom
-7.316 -2.013 1.165
1.729 -7.279 -1.724
1.557 -1.381 7.390